[1]
Compound: SmLuHgPt
Source: Alexandria via LeMat-Bulk
Functional: PBE
Structure: optimized geometry

```
SmLuHgPt
1.0
5.098 0.000 0.000
2.549 4.415 0.000
2.549 1.472 4.163
Lu Sm Hg Pt
1 1 1 1
direct
0.500 0.500 0.500 Lu
0.000 0.000 0.000 Sm
0.750 0.750 0.750 Hg
0.250 0.250 0.250 Pt
```

Summary:
The formation energy comes out at -0.627 eV per atom. The space group is F-43m, No. 216. The total energy is -18.09 eV/f.u.



[2]
Compound: CsSbS6O18F6
Source: Alexandria via LeMat-Bulk
Functional: PBE
Structure: optimized geometry

```
CsSbS6O18F6
1.0
-5.746 0.658 5.798
-0.933 -7.983 -1.570
6.494 -0.606 4.952
Cs Sb S O F
1 1 6 18 6
direct
0.000 0.000 0.000 Cs
0.500 0.500 0.500 Sb
0.451 0.733 0.848 S
0.267 0.152 0.549 S
0.733 0.848 0.451 S
0.152 0.549 0.267 S
0.549 0.267 0.152 S
0.848 0.451 0.733 S
0.683 0.654 0.430 O
0.346 0.570 0.317 O
0.855 0.879 0.345 O
0.620 0.754 0.924 O
0.754 0.924 0.620 O
0.654 0.430 0.683 O
0.380 0.246 0.076 O
0.145 0.121 0.655 O
0.317 0.346 0.570 O
0.345 0.855 0.879 O
0.879 0.345 0.855 O
0.430 0.683 0.654 O
0.924 0.620 0.754 O
0.076 0.380 0.246 O
0.121 0.655 0.145 O
0.246 0.076 0.380 O
0.655 0.145 0.121 O
0.570 0.317 0.346 O
0.637 0.436 0.105 F
0.895 0.363 0.564 F
0.564 0.895 0.363 F
0.105 0.637 0.436 F
0.363 0.564 0.895 F
0.436 0.105 0.637 F
```

Summary:
The formation energy from raw total energies comes out at -33.7 kcal/mol of atoms. The space group is R-3, No. 148. The total energy is -177.03 eV/f.u.